# Ca2AlPt | Alexandria via LeMat-Bulk | GGA-PBE | relaxed
# Total magnetization   0.00 μB per formula unit
# DFT formation energy   -0.5289 eV/atom
# Electronic total energy   -3.976 eV/atom
data_Ca2AlPt
_cell_length_a 3.640
_cell_length_b 3.640
_cell_length_c 6.998
_cell_angle_alpha 90.00
_cell_angle_beta 90.00
_cell_angle_gamma 90.00
_symmetry_space_group_name_H-M 'P 1'
_symmetry_Int_Tables_number 1
_symmetry_space_group_name_Hall 'P 1'
loop_
_atom_site_label
_atom_site_fract_x
_atom_site_fract_y
_atom_site_fract_z
Ca1 0.000 0.000 0.482
Ca2 0.000 0.000 0.018
Al1 0.500 0.500 0.750
Pt1 0.500 0.500 0.250